# 1
A relaxed structure of ZrBiPtPb2. Source: Alexandria, functional PBE.

Properties
Mass density   9.348 g cm⁻³
Volume   162 Å³ per cell
ΔH_f (0 K)   485 meV/atom

a b c (Å): 5.6831 5.6831 5.0035
angles (deg): 90.00 90.00 90.00
Last column: nearest neighbours and their distance in Å.
Space group P4/mmm (No. 123)
Symmetry-distinct sites (fractional):
Zr 0.0000 0.0000 0.0000 x1  2 Pt 2.50
Bi 0.5000 0.5000 0.5000 x1  8 Pb 3.79, 4 Pt 4.02
Pt 0.0000 0.0000 0.5000 x1  2 Zr 2.50
Pb 0.0000 0.5000 0.0000 x2  2 Zr 2.84

***

# 2
A relaxed structure of NaDy4S6. Source: Alexandria, functional PBE.

Properties
Mass density   5.520 g cm⁻³
Volume   1041 Å³ per cell
Calculated total energy   -263.2 eV/cell

a b c (Å): 3.9082 13.0442 20.4267
angles (deg): 90.00 90.00 90.00
Last column: nearest neighbours and their distance in Å.
Space group Cmcm (No. 63)
Symmetry-distinct sites (fractional):
Na 0.0000 0.1540 0.2500 x4  6 S 2.82-3.09
Dy 0.0000 0.0994 0.6378 x8  5 S 2.58-2.82
Dy 0.0000 0.3683 0.5439 x8  6 S 2.66-2.81
S 0.0000 0.0000 0.0000 x4  4 Dy 2.75
S 0.0000 0.1899 0.7500 x4  2 Dy 2.58, 2 Na 2.82
S 0.0000 0.2738 0.0798 x8  5 Dy 2.79-2.82
S 0.0000 0.4623 0.6594 x8  3 Dy 2.66-2.69

***

# 3
A relaxed structure of Nd6GaCu2. Source: Alexandria, functional PBE.

Properties
Mass density   6.971 g cm⁻³
Volume   1012 Å³ per cell
ΔH_f (0 K)   -177 meV/atom

a b c (Å): 9.6641 10.1957 10.2725
angles (deg): 90.00 90.00 90.00
Last column: nearest neighbours and their distance in Å.
Space group Immm (No. 71)
Symmetry-distinct sites (fractional):
Nd 0.0000 0.1933 0.2419 x8  1 Cu 2.99, 2 Ga 3.17-3.30
Nd 0.2030 0.5000 0.1756 x8  3 Cu 2.88-3.04
Nd 0.2273 0.3203 0.5000 x8  3 Cu 3.11-3.19, 1 Ga 3.21
Ga 0.0000 0.0000 0.0000 x2  8 Nd 3.17-3.21
Ga 0.0000 0.0000 0.5000 x2  8 Nd 3.30-3.39
Cu 0.0000 0.3558 0.0000 x4  1 Cu 2.94, 8 Nd 2.99-3.19
Cu 0.0000 0.5000 0.3806 x4  1 Cu 2.45